First-principles (PBE+U) data for a relaxed structure of CoSnF4, as listed in Alexandria.

Output
magnetization = 6.02 Bohr magnetons per cell
uncorrected energy = -4.9021 eV per atom

Cell lengths 7.1899, 7.1899, 5.5090 Å; angles 103.23, 103.23, 121.73 degrees
Closest atoms and distances in Å follow each position.
Fractional coordinates of all 12 atoms:
Co (0.0574, 0.9426, 0.7500)  6 F 2.04-2.11
Co (0.9426, 0.0574, 0.2500)  6 F 2.04-2.11
Sn (0.3336, 0.6664, 0.7500)  6 F 2.30-2.52
Sn (0.6664, 0.3336, 0.2500)  6 F 2.30-2.52
F (0.0142, 0.3860, 0.2701)  1 Co 2.11, 1 Sn 2.30
F (0.1317, 0.2331, 0.6720)  2 Co 2.04-2.06
F (0.2331, 0.1317, 0.1720)  2 Co 2.04-2.06
F (0.3860, 0.0142, 0.7701)  1 Co 2.11, 1 Sn 2.30
F (0.6140, 0.9858, 0.2299)  1 Co 2.11, 1 Sn 2.30
F (0.7669, 0.8683, 0.8280)  2 Co 2.04-2.06
F (0.8683, 0.7669, 0.3280)  2 Co 2.04-2.06
F (0.9858, 0.6140, 0.7299)  1 Co 2.11, 1 Sn 2.30